PBE+U LiFeAg2F6, relaxed; V = 12.6 Å³/atom; energy = -88.77 eV per cell
1.0
5.617 0.000 0.000
0.000 5.624 0.000
-5.608 0.000 8.006
Li Fe Ag F
2 2 4 12
Direct
0.000 0.000 0.000
0.000 0.500 0.500
0.500 0.000 0.500
0.500 0.500 0.000
0.248 0.022 0.750
0.248 0.478 0.250
0.752 0.522 0.750
0.752 0.978 0.250
0.186 0.195 0.475
0.186 0.305 0.975
0.280 0.710 0.474
0.280 0.790 0.974
0.308 0.013 0.257
0.308 0.487 0.757
0.692 0.513 0.243
0.692 0.987 0.743
0.720 0.210 0.026
0.720 0.290 0.526
0.814 0.695 0.025
0.814 0.805 0.525